Entry 1:
The following is a PBE calculation of a geometry-optimized AcGdMgOs structure, from the Alexandria database.

Structure (CIF):
```
data_AcGdMgOs
_chemical_formula_sum 'Ac4 Gd4 Mg4 Os4'
_symmetry_space_group_name_H-M 'F -4 3 m'
_symmetry_Int_Tables_number 216
_symmetry_space_group_name_Hall 'F -4 2 3'
_cell_length_a 7.4162
_cell_length_b 7.4162
_cell_length_c 7.4162
_cell_angle_alpha 90.00
_cell_angle_beta 90.00
_cell_angle_gamma 90.00
loop_
_atom_site_label
_atom_site_type_symbol
_atom_site_fract_x
_atom_site_fract_y
_atom_site_fract_z
Ac1 Ac 0.0000 0.0000 0.0000
Gd1 Gd 0.0000 0.0000 0.5000
Mg1 Mg 0.2500 0.2500 0.2500
Os1 Os 0.2500 0.2500 0.7500
```

Summary:
For the total moment, the calculation gives 6.89 μB per formula unit. Its density of states at the Fermi level is 1.22 states/eV per atom. The value obtained for the raw total energy is -7.6617 eV per atom. Its formation enthalpy at 0 K is 0.09 eV/atom.

***

Entry 2:
The following is a PBE calculation of a geometry-optimized ZrSi3Tc structure, from the Alexandria database.

Structure (CIF):
```
data_ZrSi3Tc
_chemical_formula_sum 'Zr1 Si3 Tc1'
_symmetry_space_group_name_H-M 'P m -3 m'
_symmetry_Int_Tables_number 221
_symmetry_space_group_name_Hall '-P 4 2 3'
_cell_length_a 4.5968
_cell_length_b 4.5968
_cell_length_c 4.5968
_cell_angle_alpha 90.00
_cell_angle_beta 90.00
_cell_angle_gamma 90.00
loop_
_atom_site_label
_atom_site_type_symbol
_atom_site_fract_x
_atom_site_fract_y
_atom_site_fract_z
Zr1 Zr 0.0000 0.0000 0.0000
Si1 Si 0.0000 0.5000 0.5000
Tc1 Tc 0.5000 0.5000 0.5000
```

Summary:
For the total moment, the calculation gives 0.31 μB per formula unit. Its density of states at the Fermi level is 1.06 states/eV per atom. The value obtained for the raw total energy is -6.5248 eV per atom. For the energy relative to the elements, uncorrected, the calculation gives 0.512 eV per atom.

***

Entry 3:
The following is a PBE calculation of a geometry-optimized Tb3DyIn structure, from the Alexandria database.

Structure (CIF):
```
data_Tb3DyIn
_chemical_formula_sum 'Tb12 Dy4 In4'
_symmetry_space_group_name_H-M 'C m c m'
_symmetry_Int_Tables_number 63
_symmetry_space_group_name_Hall '-C 2c 2'
_cell_length_a 5.8814
_cell_length_b 12.3537
_cell_length_c 8.7866
_cell_angle_alpha 90.00
_cell_angle_beta 90.00
_cell_angle_gamma 90.00
loop_
_atom_site_label
_atom_site_type_symbol
_atom_site_fract_x
_atom_site_fract_y
_atom_site_fract_z
Tb1 Tb 0.0000 0.0632 0.2500
Tb2 Tb 0.0000 0.1748 0.5685
Dy1 Dy 0.0000 0.4290 0.7500
In1 In 0.0000 0.3199 0.2500
```

Summary:
For the total moment, the calculation gives 0.00 μB per formula unit. Its density of states at the Fermi level is 1.15 states/eV per atom. The value obtained for the raw total energy is -3.9807 eV per atom. Its formation enthalpy at 0 K is 0.27 eV/atom.